1.
# Pr2SmNiPt8 PBE optimized geometry
data_Pr2SmNiPt8
_symmetry_space_group_name_H-M 'R -3 m'
_symmetry_Int_Tables_number 166
_symmetry_space_group_name_Hall '-R 3 2"'
_cell_length_a 5.4572
_cell_length_b 5.4572
_cell_length_c 26.3587
_cell_angle_alpha 90.00
_cell_angle_beta 90.00
_cell_angle_gamma 120.00
loop_
_atom_site_label
_atom_site_type_symbol
_atom_site_fract_x
_atom_site_fract_y
_atom_site_fract_z
Pr1 Pr 0.0000 0.0000 0.1401
Sm1 Sm 0.0000 0.0000 0.0000
Ni1 Ni 0.0000 0.0000 0.5000
Pt1 Pt 0.0000 0.0000 0.3327
Pt2 Pt 0.9996 0.4998 0.0866
# E_form = -0.834 eV per atom
# Volume = 679.8 Å³/cell
# Electronic total energy = -6.524 eV per atom

2.
# MgScCuGe PBE optimized geometry
data_MgScCuGe
_symmetry_space_group_name_H-M 'F -4 3 m'
_symmetry_Int_Tables_number 216
_symmetry_space_group_name_Hall 'F -4 2 3'
_cell_length_a 6.5062
_cell_length_b 6.5062
_cell_length_c 6.5062
_cell_angle_alpha 90.00
_cell_angle_beta 90.00
_cell_angle_gamma 90.00
loop_
_atom_site_label
_atom_site_type_symbol
_atom_site_fract_x
_atom_site_fract_y
_atom_site_fract_z
Mg1 Mg 0.0000 0.0000 0.0000
Sc1 Sc 0.0000 0.0000 0.5000
Cu1 Cu 0.2500 0.2500 0.7500
Ge1 Ge 0.2500 0.2500 0.2500
# ΔE to the lowest computed polymorph = 0.00 eV/f.u.
# Volume = 275.4 Å³/cell
# Electronic total energy = -4.410 eV per atom

3.
# Al5W7 PBE optimized geometry
data_Al5W7
_symmetry_space_group_name_H-M 'P 63/m m c'
_symmetry_Int_Tables_number 194
_symmetry_space_group_name_Hall '-P 6c 2c'
_cell_length_a 5.1634
_cell_length_b 5.1634
_cell_length_c 17.1586
_cell_angle_alpha 90.00
_cell_angle_beta 90.00
_cell_angle_gamma 120.00
loop_
_atom_site_label
_atom_site_type_symbol
_atom_site_fract_x
_atom_site_fract_y
_atom_site_fract_z
Al1 Al 0.0000 0.5000 0.0000
Al2 Al 0.3333 0.6667 0.1630
W1 W 0.0000 0.0000 0.1037
W2 W 0.1641 0.3282 0.7500
W3 W 0.3333 0.6667 0.6207
# ΔE to the lowest computed polymorph = 0.26 eV/f.u.
# Volume = 396.2 Å³/cell
# Electronic total energy = -8.901 eV per atom